Entry 1:
VASP calculation (PBE) on a relaxed Mn4HgPb crystal.

CIF file:
```
data_Mn4HgPb
_cell_length_a 7.501
_cell_length_b 7.501
_cell_length_c 7.501
_cell_angle_alpha 90.00
_cell_angle_beta 90.00
_cell_angle_gamma 90.00
_space_group_name_H-M_alt 'F -4 3 m'
_space_group_IT_number 216
_space_group_name_Hall 'F -4 2 3'
loop_
_atom_site_label
_atom_site_fract_x
_atom_site_fract_y
_atom_site_fract_z
Mn1 0.125 0.125 0.125
Hg1 0.000 0.000 0.500
Pb1 0.250 0.250 0.750
```

Calculated values
Energy ... -6.24 eV per atom

***

Entry 2:
VASP calculation (PBE) on a relaxed MnHg2Pb crystal.

CIF file:
```
data_MnHg2Pb
_cell_length_a 8.210
_cell_length_b 8.210
_cell_length_c 5.951
_cell_angle_alpha 90.00
_cell_angle_beta 90.00
_cell_angle_gamma 90.00
_space_group_name_H-M_alt 'I -4 2 d'
_space_group_IT_number 122
_space_group_name_Hall 'I -4 2bw'
loop_
_atom_site_label
_atom_site_fract_x
_atom_site_fract_y
_atom_site_fract_z
Mn1 0.000 0.000 0.000
Hg1 0.213 0.250 0.125
Pb1 0.000 0.000 0.500
```

Calculated values
Energy ... -3.05 eV per atom

***

Entry 3:
VASP calculation (PBE) on a relaxed MnHgPb2 crystal.

CIF file:
```
data_MnHgPb2
_cell_length_a 7.194
_cell_length_b 7.942
_cell_length_c 3.541
_cell_angle_alpha 90.00
_cell_angle_beta 90.00
_cell_angle_gamma 90.00
_space_group_name_H-M_alt 'C m m m'
_space_group_IT_number 65
_space_group_name_Hall '-C 2 2'
loop_
_atom_site_label
_atom_site_fract_x
_atom_site_fract_y
_atom_site_fract_z
Mn1 0.000 0.000 0.000
Hg1 0.000 0.500 0.000
Pb1 0.250 0.250 0.500
```

Calculated values
Energy ... -3.91 eV per atom

***

Entry 4:
VASP calculation (PBE) on a relaxed MnHgPb2 crystal.

CIF file:
```
data_MnHgPb2
_cell_length_a 3.3179
_cell_length_b 3.3179
_cell_length_c 33.2017
_cell_angle_alpha 90.00
_cell_angle_beta 90.00
_cell_angle_gamma 120.00
_space_group_name_H-M_alt 'R -3 m'
_space_group_IT_number 166
_space_group_name_Hall '-R 3 2"'
loop_
_atom_site_label
_atom_site_fract_x
_atom_site_fract_y
_atom_site_fract_z
Mn1 0.0000 0.0000 0.0000
Hg1 0.0000 0.0000 0.5000
Pb1 0.0000 0.0000 0.2599
```

Calculated values
Energy ... -3.92 eV per atom

***

Entry 5:
VASP calculation (PBE) on a relaxed MnHgPb2 crystal.

CIF file:
```
data_MnHgPb2
_cell_length_a 3.406
_cell_length_b 3.406
_cell_length_c 9.071
_cell_angle_alpha 90.00
_cell_angle_beta 90.00
_cell_angle_gamma 90.00
_space_group_name_H-M_alt 'P 4/m m m'
_space_group_IT_number 123
_space_group_name_Hall '-P 4 2'
loop_
_atom_site_label
_atom_site_fract_x
_atom_site_fract_y
_atom_site_fract_z
Mn1 0.000 0.000 0.000
Hg1 0.000 0.000 0.500
Pb1 0.500 0.500 0.202
```

Calculated values
Energy ... -3.99 eV per atom

***

Entry 6:
VASP calculation (PBE) on a relaxed MnHg2Pb crystal.

CIF file:
```
data_MnHg2Pb
_cell_length_a 3.408
_cell_length_b 3.408
_cell_length_c 8.185
_cell_angle_alpha 90.00
_cell_angle_beta 90.00
_cell_angle_gamma 90.00
_space_group_name_H-M_alt 'P 4 m m'
_space_group_IT_number 99
_space_group_name_Hall 'P 4 -2'
loop_
_atom_site_label
_atom_site_fract_x
_atom_site_fract_y
_atom_site_fract_z
Mn1 0.000 0.000 0.000
Hg1 0.000 0.000 0.542
Hg2 0.500 0.500 0.809
Pb1 0.500 0.500 0.240
```

Calculated values
Energy ... -3.11 eV per atom

***

Entry 7:
VASP calculation (PBE) on a relaxed Mn2HgPb crystal.

CIF file:
```
data_Mn2HgPb
_cell_length_a 6.983
_cell_length_b 6.983
_cell_length_c 6.983
_cell_angle_alpha 90.00
_cell_angle_beta 90.00
_cell_angle_gamma 90.00
_space_group_name_H-M_alt 'F -4 3 m'
_space_group_IT_number 216
_space_group_name_Hall 'F -4 2 3'
loop_
_atom_site_label
_atom_site_fract_x
_atom_site_fract_y
_atom_site_fract_z
Mn1 0.000 0.000 0.000
Mn2 0.250 0.250 0.250
Hg1 0.000 0.000 0.500
Pb1 0.250 0.250 0.750
```

Calculated values
Energy ... -4.93 eV per atom

***

Entry 8:
VASP calculation (PBE) on a relaxed MnHg2Pb crystal.

CIF file:
```
data_MnHg2Pb
_cell_length_a 3.634
_cell_length_b 4.533
_cell_length_c 6.074
_cell_angle_alpha 90.00
_cell_angle_beta 106.78
_cell_angle_gamma 90.00
_space_group_name_H-M_alt 'P 1 m 1'
_space_group_IT_number 6
_space_group_name_Hall 'P -2y'
loop_
_atom_site_label
_atom_site_fract_x
_atom_site_fract_y
_atom_site_fract_z
Mn1 0.000 0.000 0.000
Hg1 0.261 0.000 0.514
Hg2 0.852 0.500 0.698
Pb1 0.575 0.500 0.158
```

Calculated values
Energy ... -3.09 eV per atom

***

Entry 9:
VASP calculation (PBE) on a relaxed MnHgPb2 crystal.

CIF file:
```
data_MnHgPb2
_cell_length_a 4.508
_cell_length_b 4.508
_cell_length_c 10.005
_cell_angle_alpha 90.00
_cell_angle_beta 90.00
_cell_angle_gamma 90.00
_space_group_name_H-M_alt 'I -4 m 2'
_space_group_IT_number 119
_space_group_name_Hall 'I -4 -2'
loop_
_atom_site_label
_atom_site_fract_x
_atom_site_fract_y
_atom_site_fract_z
Mn1 0.000 0.000 0.000
Hg1 0.000 0.500 0.250
Pb1 0.000 0.000 0.500
Pb2 0.000 0.500 0.750
```

Calculated values
Energy ... -3.89 eV per atom

***

Entry 10:
VASP calculation (PBE) on a relaxed Mn2HgPb crystal.

CIF file:
```
data_Mn2HgPb
_cell_length_a 4.445
_cell_length_b 4.445
_cell_length_c 7.987
_cell_angle_alpha 90.00
_cell_angle_beta 90.00
_cell_angle_gamma 90.00
_space_group_name_H-M_alt 'I 4/m m m'
_space_group_IT_number 139
_space_group_name_Hall '-I 4 2'
loop_
_atom_site_label
_atom_site_fract_x
_atom_site_fract_y
_atom_site_fract_z
Mn1 0.000 0.500 0.250
Hg1 0.000 0.000 0.000
Pb1 0.000 0.000 0.500
```

Calculated values
Energy ... -5.15 eV per atom

***

Entry 11:
VASP calculation (PBE) on a relaxed MnHgPb2 crystal.

CIF file:
```
data_MnHgPb2
_cell_length_a 3.388
_cell_length_b 3.388
_cell_length_c 8.719
_cell_angle_alpha 90.00
_cell_angle_beta 90.00
_cell_angle_gamma 90.00
_space_group_name_H-M_alt 'P 4 m m'
_space_group_IT_number 99
_space_group_name_Hall 'P 4 -2'
loop_
_atom_site_label
_atom_site_fract_x
_atom_site_fract_y
_atom_site_fract_z
Mn1 0.000 0.000 0.000
Hg1 0.500 0.500 0.818
Pb1 0.000 0.000 0.548
Pb2 0.500 0.500 0.225
```

Calculated values
Energy ... -3.99 eV per atom

***

Entry 12:
VASP calculation (PBE) on a relaxed MnHg2Pb crystal.

CIF file:
```
data_MnHg2Pb
_cell_length_a 5.958
_cell_length_b 8.991
_cell_length_c 3.544
_cell_angle_alpha 90.00
_cell_angle_beta 90.00
_cell_angle_gamma 90.00
_space_group_name_H-M_alt 'C m m m'
_space_group_IT_number 65
_space_group_name_Hall '-C 2 2'
loop_
_atom_site_label
_atom_site_fract_x
_atom_site_fract_y
_atom_site_fract_z
Mn1 0.000 0.000 0.000
Hg1 0.250 0.250 0.500
Pb1 0.000 0.500 0.000
```

Calculated values
Energy ... -3.05 eV per atom

***

The records above yield total magnetic moment values of 2.2421 1.0089 1.0340 1.0092 0.9300 0.9745 2.0051 1.0028 1.0874 1.8941 1.0002 1.0585 μB per atom, respectively.
The records above yield DOS at the Fermi energy values of 6.94 2.55 1.87 2.81 1.47 2.59 5.68 1.82 2.64 3.44 2.23 2.51 states/eV/f.u., respectively.